Here is BeTeO3 after structural relaxation from Alexandria. Energies are from PBE.

Calculated values
ΔE_f (raw) = -0.9854 eV per atom
Space group = Pm-3m (221)
Total magnetic moment = 0.00 μB per formula unit

a b c (Å): 3.5229 3.5229 3.5229
angles (deg): 90.00 90.00 90.00
Last column: nearest neighbours and their distance in Å.
Atoms (fractional coordinates):
Be 0.0000 0.0000 0.0000  6 O 1.76
Te 0.5000 0.5000 0.5000  12 O 2.49
O 0.0000 0.0000 0.5000  2 Be 1.76
O 0.0000 0.5000 0.0000  2 Be 1.76
O 0.5000 0.0000 0.0000  2 Be 1.76